VASP calculation (GGA-PBE) on PmTlCl6 after structural relaxation.

Results
N(E_F) = 0.00 states/eV/cell
ΔE_f (raw) = -11.26 eV per formula unit

abc: 6.6740 6.6750 7.2430
angles: 62.57 62.57 60.02
Last column: nearest neighbours and their distance in Å.
Fractional coordinates of all 8 atoms:
Pm: 0.5000 0.5000 0.5000  6 Cl 2.74
Tl: 0.0000 0.0000 0.0000  6 Cl 2.64
Cl: 0.0806 0.4079 0.7533  1 Tl 2.64, 1 Pm 2.74
Cl: 0.7580 0.0807 0.7534  1 Tl 2.64, 1 Pm 2.74
Cl: 0.5921 0.2419 0.2467  1 Tl 2.64, 1 Pm 2.74
Cl: 0.2420 0.9193 0.2466  1 Tl 2.64, 1 Pm 2.74
Cl: 0.9194 0.5921 0.2467  1 Tl 2.64, 1 Pm 2.74
Cl: 0.4079 0.7581 0.7533  1 Tl 2.64, 1 Pm 2.74